(1)
## InSnSe2 (GGA-PBE)

Data for InSnSe2 after structural relaxation.

For the total moment, the calculation gives 0.00 μB per formula unit. Its density of states at the Fermi level is 1.39 states/eV/f.u. Its volume is 30.72 Å³ per atom. The value obtained for the formation energy without anion corrections is -0.228 eV/atom. The calculation puts the total DFT energy (no corrections) at -43.9 eV per cell.

It has space group P3_221 (No. 154), with a = 3.8902 Å, b = 3.8902 Å, c = 28.1225 Å, α = 90.00°, β = 90.00° and γ = 120.00°. The asymmetric unit holds In at (0.0000, 0.3367, 0.3333), Sn at (0.0000, 0.3287, 0.8333) and Se at (0.0045, 0.3378, 0.4417).



(2)
## InSnSe (GGA-PBE)

Data for InSnSe after structural relaxation.

For the total moment, the calculation gives 0.00 μB per formula unit. For the energy above the most stable polymorph in this dataset, the calculation gives 128 meV/atom. Its density of states at the Fermi level is 1.08 states/eV/f.u. Its volume is 26.13 Å³ per atom. The value obtained for the formation energy without anion corrections is -0.153 eV/atom. The calculation puts the total DFT energy (no corrections) at -21.4 eV per cell.

It has space group I4mm (No. 107), with a = 3.710 Å, b = 3.710 Å, c = 11.392 Å, α = 90.00°, β = 90.00° and γ = 90.00°. The asymmetric unit holds In at (0.000, 0.000, 0.000), Sn at (0.000, 0.000, 0.301) and Se at (0.000, 0.000, 0.670).